# 1
5
Lattice="4.6522 0.0000 0.0000 0.0000 4.6522 0.0000 0.0000 0.0000 4.6522" Properties=species:S:1:pos:R:3 comment="TcTeP3 | Alexandria via LeMat-Bulk | PBE | optimized geometry" crystal_system=cubic sg="Pm-3m, No. 221" e_form_raw_mev_per_atom=453 relative_energy_ev_per_atom=0.000 pbc="T T T"
Tc 0.0000 0.0000 0.0000
Te 2.3261 2.3261 2.3261
P 0.0000 0.0000 2.3261
P 0.0000 2.3261 0.0000
P 2.3261 0.0000 0.0000

# 2
12
Lattice="6.3824 0.0000 0.0000 0.0000 6.2791 0.0000 -2.6661 0.0000 5.8558" Properties=species:S:1:pos:R:3 comment="TcTeP | Alexandria via LeMat-Bulk | PBE | optimized geometry" crystal_system=monoclinic sg="P2_1/c, No. 14" e_form_raw_mev_per_atom=-326 relative_energy_ev_per_atom=0.000 pbc="T T T"
Tc 0.7351 0.0725 1.1188
Tc -0.5979 3.0670 4.0467
Tc 4.3142 3.2121 1.8092
Tc 2.9812 6.2066 4.7371
Te 1.8101 3.8775 0.8499
Te 0.4770 5.5412 3.7778
Te 3.2393 0.7379 2.0780
Te 1.9062 2.4016 5.0059
P -1.2595 0.9065 4.8877
P 0.0736 2.2330 1.9598
P 3.6427 4.0461 3.8960
P 4.9758 5.3725 0.9681